1.
VASP calculation (GGA-PBE) on an optimized crystal structure of Tm7CdPd4.

* symmetry: C2/m, No. 12
* E_form: -0.4586 eV/atom
* volume: 24.36 Å³/atom

```
12
Lattice="6.8534 -2.7379 0.0000 6.8534 2.7379 0.0000 -5.4853 0.0000 7.7893" Properties=species:S:1:pos:R:3 pbc="T T T"
Tm 0.0000 0.0000 0.0000
Tm -0.8354 0.0000 5.0185
Tm 3.2673 0.0000 0.9195
Tm 2.5058 0.0000 4.8560
Tm 5.7157 0.0000 2.9333
Tm 4.9542 0.0000 6.8698
Tm 9.0569 0.0000 2.7708
Cd 6.8534 0.0000 0.0000
Pd -3.3549 0.0000 5.9933
Pd 0.8600 0.0000 2.6709
Pd 7.3615 0.0000 5.1184
Pd 11.5764 0.0000 1.7960
```



2.
VASP calculation (GGA-PBE) on an optimized crystal structure of Y4Sn2B.

* symmetry: I4/mmm, No. 139
* E_form: -0.5513 eV/atom
* volume: 27.44 Å³/atom

```
14
Lattice="4.8921 0.0000 0.0000 0.0000 4.8921 0.0000 0.0000 0.0000 16.0512" Properties=species:S:1:pos:R:3 pbc="T T T"
Y 0.0000 0.0000 2.6579
Y 0.0000 0.0000 13.3932
Y 0.0000 2.4460 0.0000
Y 0.0000 2.4460 8.0256
Y 2.4460 0.0000 0.0000
Y 2.4460 0.0000 8.0256
Y 2.4460 2.4460 5.3677
Y 2.4460 2.4460 10.6835
Sn 0.0000 0.0000 5.8169
Sn 0.0000 0.0000 10.2342
Sn 2.4460 2.4460 2.2086
Sn 2.4460 2.4460 13.8425
B 0.0000 0.0000 0.0000
B 2.4460 2.4460 8.0256
```



3.
VASP calculation (GGA-PBE) on an optimized crystal structure of Ba2CoTe.

* symmetry: I-42d, No. 122
* volume: 38.85 Å³/atom
* DFT total energy: -14.89 eV per formula unit

```
16
Lattice="8.6387 0.0000 0.0000 0.0000 8.6387 0.0000 0.0000 0.0000 8.3301" Properties=species:S:1:pos:R:3 pbc="T T T"
Ba 1.8444 6.4790 1.0413
Ba 2.1597 1.8444 7.2888
Ba 2.1597 2.4749 3.1238
Ba 2.4749 6.4790 5.2063
Ba 6.1638 2.1597 5.2063
Ba 6.4790 6.1638 3.1238
Ba 6.4790 6.7943 7.2888
Ba 6.7943 2.1597 1.0413
Co 0.0000 0.0000 0.0000
Co 0.0000 4.3193 2.0825
Co 4.3193 0.0000 6.2475
Co 4.3193 4.3193 4.1650
Te 0.0000 0.0000 4.1650
Te 0.0000 4.3193 6.2475
Te 4.3193 0.0000 2.0825
Te 4.3193 4.3193 0.0000
```



4.
VASP calculation (GGA-PBE) on an optimized crystal structure of NaYAg2F6.

* symmetry: P-1, No. 2
* volume: 15.99 Å³/atom
* DFT total energy: -50.34 eV per formula unit

```
10
Lattice="5.9841 0.0000 0.0000 2.9486 5.3012 0.0000 2.9864 1.6577 5.0399" Properties=species:S:1:pos:R:3 pbc="T T T"
Na 0.0000 0.0000 0.0000
Y 5.9595 3.4795 2.5200
Ag 2.8177 1.7104 1.1622
Ag 9.1014 5.2485 3.8777
F 4.4298 3.1501 4.0686
F 4.6042 4.9281 1.5705
F 6.7902 5.1166 3.7400
F 5.1289 1.8423 1.2999
F 7.3149 2.0308 3.4694
F 7.4893 3.8089 0.9713
```



5.
VASP calculation (GGA-PBE) on an optimized crystal structure of BC3.

* symmetry: Cm, No. 8
* E_form: 0.2648 eV/atom
* energy relative to the lowest polymorph listed for this composition: 0.024 eV per atom
* volume: 6.20 Å³/atom

```
12
Lattice="6.5307 -1.2858 0.0000 6.5307 1.2858 0.0000 -1.1543 0.0000 4.4270" Properties=species:S:1:pos:R:3 pbc="T T T"
B 0.0000 0.0000 0.0000
B 0.8931 0.0000 3.6324
B 3.8730 0.0000 0.0533
C 1.6586 0.0000 0.7049
C 3.4872 0.0000 3.0372
C 4.9813 0.0000 3.4521
C 5.8807 0.0000 2.2069
C 7.3240 0.0000 2.7206
C 8.3271 0.0000 1.5653
C 9.7621 0.0000 2.1717
C 10.6743 0.0000 0.9502
C 12.1409 0.0000 1.3510
```



6.
VASP calculation (GGA-PBE) on an optimized crystal structure of ErAgHg3.

* symmetry: C2/m, No. 12
* E_form: -0.1730 eV/atom
* energy relative to the lowest polymorph listed for this composition: 0.081 eV per atom
* volume: 23.16 Å³/atom

```
10
Lattice="6.8590 -2.6013 0.0000 6.8590 2.6013 0.0000 -0.2607 0.0000 6.4889" Properties=species:S:1:pos:R:3 pbc="T T T"
Er 1.4930 0.0000 1.4414
Er 11.9644 0.0000 5.0475
Ag 4.0495 0.0000 3.2851
Ag 9.4078 0.0000 3.2038
Hg 1.3814 0.0000 4.5800
Hg 3.9952 0.0000 6.4450
Hg 6.7638 0.0000 1.6887
Hg 6.6935 0.0000 4.8003
Hg 9.4621 0.0000 0.0440
Hg 12.0760 0.0000 1.9089
```